No. 1
VASP calculation (PBE) on crystalline LaAlIn2Se4 at its relaxed geometry.

Structure (POSCAR):
```
LaAlIn2Se4
1.0
-4.0407 4.5313 6.0561
4.0407 -4.5313 6.0561
4.0407 4.5313 -6.0561
La Al In Se
2 2 4 8
Cartesian
0.0000 0.0000 0.0000 La
0.0000 4.5313 0.0000 La
-2.0204 2.2656 3.0280 Al
2.0204 2.2656 3.0280 Al
2.0204 2.2656 -3.0280 In
2.0204 -2.2656 3.0280 In
4.0407 0.0000 0.0000 In
0.0000 0.0000 6.0561 In
1.9406 2.2656 0.3399 Se
2.1002 -2.2656 6.3960 Se
0.0000 0.4915 2.9982 Se
4.0407 0.4915 3.0579 Se
0.0000 4.0398 2.9982 Se
4.0407 4.0398 3.0579 Se
1.9406 6.7969 -0.3399 Se
2.1002 2.2656 5.7162 Se
```

Properties
SG: No. 74
Formation energy without anion corrections in eV per atom: -0.8616

No. 2
VASP calculation (PBE) on crystalline Rb2TiSnSe5 at its relaxed geometry.

Structure (POSCAR):
```
Rb2TiSnSe5
1.0
1.9814 -10.1049 0.0000
1.9814 10.1049 0.0000
0.0000 0.0000 14.7061
Rb Ti Sn Se
4 2 2 10
Cartesian
1.9814 7.5555 7.3531 Rb
1.9814 7.3886 1.8981 Rb
1.9814 -7.3886 9.2511 Rb
1.9814 -7.5555 0.0000 Rb
1.9814 5.7483 12.4592 Ti
1.9814 -5.7483 5.1061 Ti
1.9814 1.2889 3.6098 Sn
1.9814 -1.2889 10.9628 Sn
1.9814 9.0110 12.6599 Se
1.9814 4.1002 6.6954 Se
1.9814 3.8534 3.2307 Se
1.9814 3.4788 12.0156 Se
1.9814 0.0738 1.4677 Se
1.9814 -0.0738 8.8208 Se
1.9814 -3.4788 4.6625 Se
1.9814 -3.8534 10.5838 Se
1.9814 -4.1002 14.0485 Se
1.9814 -9.0110 5.3068 Se
```

Properties
SG: No. 36
Formation energy without anion corrections in eV per atom: -0.9187

No. 3
VASP calculation (PBE) on crystalline Sb2TeW2 at its relaxed geometry.

Structure (POSCAR):
```
Sb2TeW2
1.0
7.9122 0.0000 0.0000
0.0000 7.9122 0.0000
0.0000 0.0000 3.3102
Sb Te W
4 2 4
Cartesian
1.1929 2.7632 0.0000 Sb
2.7632 6.7193 0.0000 Sb
5.1490 1.1929 0.0000 Sb
6.7193 5.1490 0.0000 Sb
0.0000 0.0000 1.6551 Te
3.9561 3.9561 1.6551 Te
1.0977 5.0538 1.6551 W
2.8584 1.0977 1.6551 W
5.0538 6.8145 1.6551 W
6.8145 2.8584 1.6551 W
```

Properties
SG: No. 127
Relative energy among the computed polymorphs in meV per atom: 0
Formation energy without anion corrections in eV per atom: 0.5859

No. 4
VASP calculation (PBE) on crystalline Cu5I12Cl3 at its relaxed geometry.

Structure (POSCAR):
```
Cu5I12Cl3
1.0
-8.9992 8.9992 8.9992
8.9992 -8.9992 8.9992
8.9992 8.9992 -8.9992
Cu I Cl
20 48 12
Cartesian
0.0000 0.0000 0.0000 Cu
4.4996 4.4996 -4.4996 Cu
4.4996 -4.4996 4.4996 Cu
8.9992 0.0000 0.0000 Cu
13.4988 2.2498 0.0000 Cu
8.9992 -4.4996 6.7494 Cu
6.7494 8.9992 -4.4996 Cu
6.7494 0.0000 4.4996 Cu
4.4996 6.7494 0.0000 Cu
8.9992 4.4996 2.2498 Cu
-4.4996 4.4996 4.4996 Cu
0.0000 8.9992 0.0000 Cu
0.0000 0.0000 8.9992 Cu
4.4996 4.4996 4.4996 Cu
0.0000 4.4996 6.7494 Cu
4.4996 2.2498 8.9992 Cu
2.2498 8.9992 4.4996 Cu
2.2498 0.0000 13.4988 Cu
0.0000 13.4988 2.2498 Cu
-4.4996 6.7494 8.9992 Cu
11.7313 0.3397 -0.0646 I
10.7666 -4.5642 4.8393 I
7.2318 -4.4350 4.8393 I
15.2662 0.3397 0.0646 I
13.5634 4.1599 -1.7674 I
8.9346 -6.2670 8.6595 I
8.6595 8.9346 -6.2670 I
4.8393 -1.7674 4.4350 I
4.8393 7.2318 -4.4350 I
8.6595 0.0646 2.7322 I
4.4350 4.8393 -1.7674 I
9.0638 2.7322 0.3397 I
13.4342 4.1599 1.7674 I
9.0638 -2.7322 8.6595 I
4.8393 10.7666 -4.5642 I
8.6595 -0.0646 6.2670 I
8.6595 9.0638 -2.7322 I
4.8393 1.7674 4.5642 I
4.5642 4.8393 1.7674 I
8.9346 6.2670 0.3397 I
6.2670 8.6595 -0.0646 I
7.2318 4.4350 4.1599 I
2.7322 8.6595 0.0646 I
10.7666 4.5642 4.1599 I
-1.7674 4.4350 4.8393 I
6.2670 0.3397 8.9346 I
1.7674 4.5642 4.8393 I
2.7322 0.3397 9.0638 I
0.0646 2.7322 8.6595 I
4.4350 4.1599 7.2318 I
4.1599 7.2318 4.4350 I
0.3397 -0.0646 11.7313 I
0.3397 9.0638 2.7322 I
4.1599 -1.7674 13.5634 I
-0.0646 11.7313 0.3397 I
-4.4350 4.8393 7.2318 I
-0.0646 6.2670 8.6595 I
4.5642 4.1599 10.7666 I
0.3397 8.9346 6.2670 I
4.1599 1.7674 13.4342 I
4.1599 10.7666 4.5642 I
0.3397 0.0646 15.2662 I
0.0646 15.2662 0.3397 I
-4.5642 4.8393 10.7666 I
-6.2670 8.6595 8.9346 I
1.7674 13.4342 4.1599 I
-1.7674 13.5634 4.1599 I
-2.7322 8.6595 9.0638 I
4.4996 2.2498 0.0000 Cl
8.9992 4.4996 -2.2498 Cl
2.2498 0.0000 4.4996 Cl
11.2490 0.0000 4.4996 Cl
0.0000 4.4996 2.2498 Cl
4.4996 -2.2498 8.9992 Cl
4.4996 11.2490 0.0000 Cl
8.9992 4.4996 6.7494 Cl
-2.2498 8.9992 4.4996 Cl
6.7494 8.9992 4.4996 Cl
0.0000 4.4996 11.2490 Cl
4.4996 6.7494 8.9992 Cl
```

Properties
SG: No. 230
Formation energy without anion corrections in eV per atom: 0.1159

- The highest formation energy without anion corrections belongs to which entry?
  Sb2TeW2

- Look up the formation energy without anion corrections of the third one.
  0.5859 eV per atom

- Which of these has the highest formation energy without anion corrections?
  Sb2TeW2